15
Lattice="3.3845 1.9540 6.5904 -3.3845 1.9540 6.5904 0.0000 -3.9080 6.5904" Properties=species:S:1:pos:R:3 comment="Rb3Dy3CoO8, optimized geometry, DFT PBE+U" magmom_total_mub_per_cell=4.91 dft_energy_ev_per_atom=-6.33 vol_a3_per_fu=261.50 pbc="T T T"
Rb -1.6922 -0.9770 6.5904
Rb -1.6922 0.9770 13.1809
Rb 0.0000 1.9540 6.5904
Dy -3.3844 0.0000 9.8857
Dy -1.6922 0.9770 3.2952
Dy 1.6922 0.9770 3.2952
Co 0.0000 0.0000 9.8857
O 0.0000 0.0000 4.4335
O -1.5407 -0.8895 10.9647
O 0.0000 -1.7790 8.8066
O -1.5407 0.8895 8.8066
O 1.5407 -0.8895 10.9647
O 0.0000 1.7790 10.9647
O 1.5407 0.8895 8.8066
O 0.0000 0.0000 15.3378